No. 1
A geometry-optimized CaMg structure, computed with PBE-GGA.

Cell lengths 3.684, 3.684, 5.598 Å; angles 90.00, 90.00, 120.00 degrees
Positions (direct):
Ca1 0.000 0.000 0.000
Mg1 0.667 0.333 0.500

Calculated values
volume = 32.9 Å³/atom
electronic total energy = -1.739 eV per atom
magnetization = 0.00 μB/f.u.

***

No. 2
A geometry-optimized Pm3TcCl3 structure, computed with PBE-GGA.

Cell lengths 8.643, 4.007, 11.994 Å; angles 90.00, 90.42, 90.00 degrees
Positions (direct):
Pm1 0.097 0.250 0.171
Pm2 0.178 0.250 0.661
Pm3 0.272 0.750 0.403
Pm4 0.728 0.250 0.597
Pm5 0.822 0.750 0.339
Pm6 0.903 0.750 0.829
Tc1 0.030 0.250 0.421
Tc2 0.970 0.750 0.579
Cl1 0.120 0.250 0.905
Cl2 0.324 0.750 0.161
Cl3 0.449 0.750 0.624
Cl4 0.551 0.250 0.376
Cl5 0.676 0.250 0.839
Cl6 0.880 0.750 0.095

Calculated values
volume = 29.7 Å³/atom
electronic total energy = -5.636 eV per atom
magnetization = 0.00 μB/f.u.

***

No. 3
A geometry-optimized TcBrNF2 structure, computed with PBE-GGA.

Cell lengths 4.187, 4.187, 3.879 Å; angles 90.00, 90.00, 90.00 degrees
Positions (direct):
Tc1 0.000 0.000 0.000
Br1 0.500 0.500 0.500
N1 0.000 0.000 0.500
F1 0.000 0.500 0.000
F2 0.500 0.000 0.000

Calculated values
excess energy over the best structure of this formula in the dataset = 0 meV per atom
volume = 13.6 Å³/atom
magnetization = 0.53 μB/f.u.